# NdThSi3, optimized geometry, DFT PBE-GGA
# Density (g/cm3): 7.00
# DFT total energy (Ha/atom): -0.2341
# Raw formation energy (eV per atom): -0.678
data_NdThSi3
_chemical_formula_sum 'Nd4 Th4 Si12'
_cell_length_a 4.316
_cell_length_b 24.836
_cell_length_c 4.075
_cell_angle_alpha 90.00
_cell_angle_beta 90.00
_cell_angle_gamma 90.00
_symmetry_space_group_name_H-M 'C m c m'
_symmetry_Int_Tables_number 63
_symmetry_space_group_name_Hall '-C 2c 2'
loop_
_atom_site_label
_atom_site_type_symbol
_atom_site_fract_x
_atom_site_fract_y
_atom_site_fract_z
Nd1 Nd 0.000 0.201 0.250
Th1 Th 0.000 0.069 0.750
Si1 Si 0.000 0.327 0.250
Si2 Si 0.000 0.382 0.750
Si3 Si 0.000 0.477 0.750